Below is an optimized crystal structure of BeRe2, with properties calculated at the PBE level.

Calculated values
**Calculated total energy**: -86.9 eV for the cell shown
**Total magnetization**: 0.00 μB per formula unit

```
data_BeRe2
_chemical_formula_sum 'Be3 Re6'
_symmetry_space_group_name_H-M 'P -6 2 m'
_symmetry_Int_Tables_number 189
_symmetry_space_group_name_Hall 'P -6 -2'
_cell_length_a 6.6554
_cell_length_b 6.6554
_cell_length_c 2.9478
_cell_angle_alpha 90.00
_cell_angle_beta 90.00
_cell_angle_gamma 120.00
loop_
_atom_site_label
_atom_site_type_symbol
_atom_site_fract_x
_atom_site_fract_y
_atom_site_fract_z
Be1 Be 0.0000 0.0000 0.0000
Be2 Be 0.3333 0.6667 0.5000
Re1 Re 0.0000 0.2660 0.5000
Re2 Re 0.0000 0.6048 0.0000
```


Below is an optimized crystal structure of CrMoSe2, with properties calculated at the PBE level.

Calculated values
**Calculated total energy**: -28.6 eV for the cell shown
**Formation energy from raw total energies**: -0.291 eV per atom
**Total magnetization**: 0.78 μB per formula unit

```
data_CrMoSe2
_chemical_formula_sum 'Cr1 Mo1 Se2'
_symmetry_space_group_name_H-M 'P 1 m 1'
_symmetry_Int_Tables_number 6
_cell_length_a 3.473
_cell_length_b 3.874
_cell_length_c 6.707
_cell_angle_alpha 90.00
_cell_angle_beta 90.43
_cell_angle_gamma 90.00
loop_
_symmetry_equiv_pos_as_xyz
'x,y,z'
'x,-y,z'
loop_
_atom_site_label
_atom_site_type_symbol
_atom_site_fract_x
_atom_site_fract_y
_atom_site_fract_z
Cr1 Cr 0.000 0.000 0.000
Mo1 Mo 0.500 0.500 0.017
Se1 Se 0.504 0.000 0.264
Se2 Se 0.996 0.500 0.749
```


Below is an optimized crystal structure of Sm4GaGeN, with properties calculated at the PBE level.

Calculated values
**Calculated total energy**: -162.1 eV for the cell shown
**Formation energy from raw total energies**: -0.810 eV per atom
**Total magnetization**: 0.00 μB per formula unit

```
data_Sm4GaGeN
_chemical_formula_sum 'Sm16 Ga4 Ge4 N4'
_symmetry_space_group_name_H-M 'C m c m'
_symmetry_Int_Tables_number 63
_symmetry_space_group_name_Hall '-C 2c 2'
_cell_length_a 6.724
_cell_length_b 15.627
_cell_length_c 6.724
_cell_angle_alpha 90.00
_cell_angle_beta 90.00
_cell_angle_gamma 90.00
loop_
_atom_site_label
_atom_site_type_symbol
_atom_site_fract_x
_atom_site_fract_y
_atom_site_fract_z
Sm1 Sm 0.000 0.080 0.250
Sm2 Sm 0.000 0.420 0.250
Sm3 Sm 0.250 0.250 0.000
Ga1 Ga 0.000 0.114 0.750
Ge1 Ge 0.000 0.387 0.750
N1 N 0.000 0.250 0.250
```


Below is an optimized crystal structure of Be2ReSe, with properties calculated at the PBE level.

Calculated values
**Calculated total energy**: -43.3 eV for the cell shown
**Formation energy from raw total energies**: 0.438 eV per atom
**Total magnetization**: 0.00 μB per formula unit

```
data_Be2ReSe
_chemical_formula_sum 'Be4 Re2 Se2'
_symmetry_space_group_name_H-M 'C m m m'
_symmetry_Int_Tables_number 65
_symmetry_space_group_name_Hall '-C 2 2'
_cell_length_a 5.292
_cell_length_b 7.248
_cell_length_c 2.660
_cell_angle_alpha 90.00
_cell_angle_beta 90.00
_cell_angle_gamma 90.00
loop_
_atom_site_label
_atom_site_type_symbol
_atom_site_fract_x
_atom_site_fract_y
_atom_site_fract_z
Be1 Be 0.250 0.250 0.000
Re1 Re 0.000 0.000 0.500
Se1 Se 0.000 0.500 0.500
```


Below is an optimized crystal structure of ZrFeH2, with properties calculated at the PBE level.

Calculated values
**Calculated total energy**: -97.4 eV for the cell shown
**Total magnetization**: 0.00 μB per formula unit

```
data_ZrFeH2
_chemical_formula_sum 'Zr4 Fe4 H8'
_symmetry_space_group_name_H-M 'I -4 2 d'
_symmetry_Int_Tables_number 122
_symmetry_space_group_name_Hall 'I -4 2bw'
_cell_length_a 4.052
_cell_length_b 4.052
_cell_length_c 9.249
_cell_angle_alpha 90.00
_cell_angle_beta 90.00
_cell_angle_gamma 90.00
loop_
_atom_site_label
_atom_site_type_symbol
_atom_site_fract_x
_atom_site_fract_y
_atom_site_fract_z
Zr1 Zr 0.000 0.000 0.000
Fe1 Fe 0.000 0.000 0.500
H1 H 0.158 0.250 0.625
```


Below is an optimized crystal structure of FeW, with properties calculated at the PBE level.

Calculated values
**Calculated total energy**: -79.0 eV for the cell shown
**Total magnetization**: 0.00 μB per formula unit

```
data_FeW
_chemical_formula_sum 'Fe4 W4'
_symmetry_space_group_name_H-M 'P 42/m n m'
_symmetry_Int_Tables_number 136
_symmetry_space_group_name_Hall '-P 4n 2n'
_cell_length_a 4.874
_cell_length_b 4.874
_cell_length_c 4.836
_cell_angle_alpha 90.00
_cell_angle_beta 90.00
_cell_angle_gamma 90.00
loop_
_atom_site_label
_atom_site_type_symbol
_atom_site_fract_x
_atom_site_fract_y
_atom_site_fract_z
Fe1 Fe 0.209 0.209 0.000
W1 W 0.213 0.213 0.500
```


Below is an optimized crystal structure of Sb2TeIBr, with properties calculated at the PBE level.

Calculated values
**Calculated total energy**: -9.9 eV for the cell shown
**Formation energy from raw total energies**: 0.941 eV per atom
**Total magnetization**: 0.68 μB per formula unit

```
data_Sb2TeIBr
_chemical_formula_sum 'Sb2 Te1 I1 Br1'
_symmetry_space_group_name_H-M 'P 4/m m m'
_symmetry_Int_Tables_number 123
_symmetry_space_group_name_Hall '-P 4 2'
_cell_length_a 5.928
_cell_length_b 5.928
_cell_length_c 5.734
_cell_angle_alpha 90.00
_cell_angle_beta 90.00
_cell_angle_gamma 90.00
loop_
_atom_site_label
_atom_site_type_symbol
_atom_site_fract_x
_atom_site_fract_y
_atom_site_fract_z
Sb1 Sb 0.000 0.500 0.000
Te1 Te 0.000 0.000 0.500
I1 I 0.000 0.000 0.000
Br1 Br 0.500 0.500 0.500
```


Below is an optimized crystal structure of VSe2SN, with properties calculated at the PBE level.

Calculated values
**Calculated total energy**: -26.8 eV for the cell shown
**Formation energy from raw total energies**: 0.351 eV per atom
**Total magnetization**: 0.00 μB per formula unit

```
data_VSe2SN
_chemical_formula_sum 'V1 Se2 S1 N1'
_symmetry_space_group_name_H-M 'P 4/m m m'
_symmetry_Int_Tables_number 123
_symmetry_space_group_name_Hall '-P 4 2'
_cell_length_a 4.909
_cell_length_b 4.909
_cell_length_c 3.632
_cell_angle_alpha 90.00
_cell_angle_beta 90.00
_cell_angle_gamma 90.00
loop_
_atom_site_label
_atom_site_type_symbol
_atom_site_fract_x
_atom_site_fract_y
_atom_site_fract_z
V1 V 0.000 0.000 0.000
Se1 Se 0.000 0.500 0.000
S1 S 0.500 0.500 0.500
N1 N 0.000 0.000 0.500
```


Q: Which formula does entry 1 have?
A: BeRe2


Q: Which of these has the lowest calculated total energy?
A: Sm4GaGeN


Q: What is the calculated total energy in the first record?
A: -86.9 eV for the cell shown